# SiPb2C PBE relaxed
data_SiPb2C
_chemical_formula_sum 'Si4 Pb8 C4'
_cell_length_a 6.972
_cell_length_b 6.972
_cell_length_c 6.972
_cell_angle_alpha 90.00
_cell_angle_beta 90.00
_cell_angle_gamma 90.00
_space_group_name_H-M_alt 'F m -3 m'
_space_group_IT_number 225
_space_group_name_Hall '-F 4 2 3'
loop_
_atom_site_label
_atom_site_fract_x
_atom_site_fract_y
_atom_site_fract_z
Si1 0.000 0.000 0.000
Pb1 0.250 0.250 0.250
C1 0.000 0.000 0.500
# ΔE_f (raw): 1.5256 eV per atom

# Sm4SiPbC PBE relaxed
data_Sm4SiPbC
_chemical_formula_sum 'Sm16 Si4 Pb4 C4'
_cell_length_a 6.902
_cell_length_b 16.005
_cell_length_c 6.910
_cell_angle_alpha 90.00
_cell_angle_beta 90.00
_cell_angle_gamma 90.00
_space_group_name_H-M_alt 'C m c m'
_space_group_IT_number 63
_space_group_name_Hall '-C 2c 2'
loop_
_atom_site_label
_atom_site_fract_x
_atom_site_fract_y
_atom_site_fract_z
Sm1 0.000 0.080 0.250
Sm2 0.000 0.410 0.250
Sm3 0.250 0.250 0.000
Si1 0.000 0.117 0.750
Pb1 0.000 0.392 0.750
C1 0.000 0.248 0.250
# ΔE_f (raw): -0.4242 eV per atom

# Sm6Pb2C PBE relaxed
data_Sm6Pb2C
_chemical_formula_sum 'Sm12 Pb4 C2'
_cell_length_a 6.561
_cell_length_b 8.359
_cell_length_c 11.628
_cell_angle_alpha 90.00
_cell_angle_beta 121.52
_cell_angle_gamma 90.00
_space_group_name_H-M_alt 'P 1 21/c 1'
_space_group_IT_number 14
_space_group_name_Hall '-P 2ybc'
loop_
_atom_site_label
_atom_site_fract_x
_atom_site_fract_y
_atom_site_fract_z
Sm1 0.130 0.153 0.456
Sm2 0.316 0.721 0.453
Sm3 0.356 0.032 0.253
Pb1 0.187 0.103 0.765
C1 0.500 0.000 0.500
# total DFT energy (no corrections): -5.314 eV per atom

# Sm4PbC PBE relaxed
data_Sm4PbC
_chemical_formula_sum 'Sm16 Pb4 C4'
_cell_length_a 16.277
_cell_length_b 6.871
_cell_length_c 6.119
_cell_angle_alpha 90.00
_cell_angle_beta 106.19
_cell_angle_gamma 90.00
_space_group_name_H-M_alt 'C 1 2/m 1'
_space_group_IT_number 12
_space_group_name_Hall '-C 2y'
loop_
_atom_site_label
_atom_site_fract_x
_atom_site_fract_y
_atom_site_fract_z
Sm1 0.000 0.247 0.000
Sm2 0.109 0.242 0.593
Sm3 0.196 0.000 0.190
Pb1 0.194 0.500 0.215
C1 0.060 0.000 0.302
# total DFT energy (no corrections): -5.476 eV per atom

# Sm9Pb3C2 PBE relaxed
data_Sm9Pb3C2
_chemical_formula_sum 'Sm9 Pb3 C2'
_cell_length_a 7.1202
_cell_length_b 7.1202
_cell_length_c 8.7297
_cell_angle_alpha 90.00
_cell_angle_beta 90.00
_cell_angle_gamma 120.00
_space_group_name_H-M_alt 'P -3 m 1'
_space_group_IT_number 164
_space_group_name_Hall '-P 3 2"'
loop_
_atom_site_label
_atom_site_fract_x
_atom_site_fract_y
_atom_site_fract_z
Sm1 0.0000 0.5000 0.0000
Sm2 0.1699 0.3398 0.6695
Pb1 0.0000 0.0000 0.0000
Pb2 0.3333 0.6667 0.3323
C1 0.3333 0.6667 0.8266
# total DFT energy (no corrections): -5.557 eV per atom

# Sm7Pb3C2 PBE relaxed
data_Sm7Pb3C2
_chemical_formula_sum 'Sm14 Pb6 C4'
_cell_length_a 5.080
_cell_length_b 25.414
_cell_length_c 4.973
_cell_angle_alpha 90.00
_cell_angle_beta 90.00
_cell_angle_gamma 90.00
_space_group_name_H-M_alt 'C m m m'
_space_group_IT_number 65
_space_group_name_Hall '-C 2 2'
loop_
_atom_site_label
_atom_site_fract_x
_atom_site_fract_y
_atom_site_fract_z
Sm1 0.000 0.000 0.000
Sm2 0.000 0.097 0.500
Sm3 0.000 0.199 0.000
Sm4 0.000 0.399 0.000
Pb1 0.000 0.310 0.500
Pb2 0.000 0.500 0.500
C1 0.000 0.101 0.000
# total DFT energy (no corrections): -5.671 eV per atom

# Sm7Pb4C PBE relaxed
data_Sm7Pb4C
_chemical_formula_sum 'Sm14 Pb8 C2'
_cell_length_a 16.434
_cell_length_b 5.204
_cell_length_c 11.459
_cell_angle_alpha 90.00
_cell_angle_beta 127.08
_cell_angle_gamma 90.00
_space_group_name_H-M_alt 'C 1 2/m 1'
_space_group_IT_number 12
_space_group_name_Hall '-C 2y'
loop_
_atom_site_label
_atom_site_fract_x
_atom_site_fract_y
_atom_site_fract_z
Sm1 0.000 0.000 0.000
Sm2 0.063 0.500 0.244
Sm3 0.137 0.000 0.540
Sm4 0.220 0.500 0.865
Pb1 0.083 0.000 0.778
Pb2 0.222 0.000 0.345
C1 0.000 0.500 0.000
# total DFT energy (no corrections): -4.986 eV per atom

# Sm3PbC PBE relaxed
data_Sm3PbC
_chemical_formula_sum 'Sm3 Pb1 C1'
_cell_length_a 5.810
_cell_length_b 5.810
_cell_length_c 5.810
_cell_angle_alpha 90.00
_cell_angle_beta 90.00
_cell_angle_gamma 90.00
_space_group_name_H-M_alt 'P m -3 m'
_space_group_IT_number 221
_space_group_name_Hall '-P 4 2 3'
loop_
_atom_site_label
_atom_site_fract_x
_atom_site_fract_y
_atom_site_fract_z
Sm1 0.000 0.000 0.500
Pb1 0.000 0.000 0.000
C1 0.500 0.500 0.500
# total DFT energy (no corrections): -3.837 eV per atom

# Sm6Pb2C PBE relaxed
data_Sm6Pb2C
_chemical_formula_sum 'Sm12 Pb4 C2'
_cell_length_a 7.111
_cell_length_b 7.111
_cell_length_c 10.078
_cell_angle_alpha 90.00
_cell_angle_beta 90.00
_cell_angle_gamma 90.00
_space_group_name_H-M_alt 'I 4/m m m'
_space_group_IT_number 139
_space_group_name_Hall '-I 4 2'
loop_
_atom_site_label
_atom_site_fract_x
_atom_site_fract_y
_atom_site_fract_z
Sm1 0.000 0.000 0.245
Sm2 0.245 0.245 0.000
Pb1 0.000 0.500 0.250
C1 0.000 0.000 0.000
# total DFT energy (no corrections): -5.375 eV per atom

# Sm5Pb2C PBE relaxed
data_Sm5Pb2C
_chemical_formula_sum 'Sm20 Pb8 C4'
_cell_length_a 5.123
_cell_length_b 16.644
_cell_length_c 12.953
_cell_angle_alpha 90.00
_cell_angle_beta 90.00
_cell_angle_gamma 90.00
_space_group_name_H-M_alt 'C m c m'
_space_group_IT_number 63
_space_group_name_Hall '-C 2c 2'
loop_
_atom_site_label
_atom_site_fract_x
_atom_site_fract_y
_atom_site_fract_z
Sm1 0.000 0.082 0.113
Sm2 0.000 0.287 0.080
Sm3 0.000 0.296 0.750
Pb1 0.000 0.114 0.629
C1 0.000 0.176 0.250
# total DFT energy (no corrections): -5.009 eV per atom

# Sm2ThPbC PBE relaxed
data_Sm2ThPbC
_chemical_formula_sum 'Sm2 Th1 Pb1 C1'
_cell_length_a 5.090
_cell_length_b 5.090
_cell_length_c 5.044
_cell_angle_alpha 90.00
_cell_angle_beta 90.00
_cell_angle_gamma 90.00
_space_group_name_H-M_alt 'P 4/m m m'
_space_group_IT_number 123
_space_group_name_Hall '-P 4 2'
loop_
_atom_site_label
_atom_site_fract_x
_atom_site_fract_y
_atom_site_fract_z
Sm1 0.000 0.500 0.000
Th1 0.000 0.000 0.500
Pb1 0.500 0.500 0.500
C1 0.000 0.000 0.000
# total DFT energy (no corrections): -6.348 eV per atom

# Sm3ThPb2C PBE relaxed
data_Sm3ThPb2C
_chemical_formula_sum 'Sm6 Th2 Pb4 C2'
_cell_length_a 4.983
_cell_length_b 5.015
_cell_length_c 16.495
_cell_angle_alpha 90.00
_cell_angle_beta 90.00
_cell_angle_gamma 90.00
_space_group_name_H-M_alt 'I m m m'
_space_group_IT_number 71
_space_group_name_Hall '-I 2 2'
loop_
_atom_site_label
_atom_site_fract_x
_atom_site_fract_y
_atom_site_fract_z
Sm1 0.000 0.000 0.000
Sm2 0.000 0.500 0.159
Th1 0.000 0.000 0.500
Pb1 0.000 0.500 0.357
C1 0.000 0.500 0.000
# total DFT energy (no corrections): -5.877 eV per atom